[1]
Density functional theory data (PBEsol) for a geometry-optimized Hf2BrF structure.

The structure in extended XYZ format:
```
4
Lattice="4.539 0.000 0.000 2.269 3.931 0.000 2.269 1.310 3.706" Properties=species:S:1:pos:R:3 pbc="T T T"
Hf 2.269 1.310 0.926
Hf 6.808 3.931 2.779
Br 4.539 2.620 1.853
F 0.000 0.000 0.000
```

Space-group type = No. 225
E = -6.603 eV/atom
Formation energy without anion corrections = -0.40 eV per atom
Total moment = 0.000 μB per atom

=====

[2]
Density functional theory data (PBEsol) for a geometry-optimized Li2YCd structure.

The structure in extended XYZ format:
```
4
Lattice="3.477 0.000 0.000 0.000 3.477 0.000 0.000 0.000 7.273" Properties=species:S:1:pos:R:3 pbc="T T T"
Y 0.000 0.000 3.750
Cd 1.738 1.738 5.718
Li 0.000 0.000 7.231
Li 1.738 1.738 1.485
```

Space-group type = No. 99
Energy of formation from the pure elements = -108 meV/atom
E = -3.096 eV/atom
Distance to the lowest polymorph of the same formula = 0 meV/atom
Total moment = 0.034 μB per atom

=====

[3]
Density functional theory data (PBEsol) for a geometry-optimized TlSnPb2 structure.

The structure in extended XYZ format:
```
4
Lattice="5.434 0.000 0.000 2.717 4.706 0.000 2.717 1.569 4.437" Properties=species:S:1:pos:R:3 pbc="T T T"
Pb 2.717 1.569 1.109
Pb 8.151 4.706 3.328
Tl 5.434 3.137 2.218
Sn 0.000 0.000 0.000
```

Space-group type = No. 225
Energy of formation from the pure elements = 37 meV/atom
E = -3.685 eV/atom
Total moment = 0.000 μB per atom

=====

[4]
Density functional theory data (PBEsol) for a geometry-optimized ZrMn13 structure.

The structure in extended XYZ format:
```
28
Lattice="7.706 0.000 0.000 3.853 6.673 0.000 3.853 2.224 6.292" Properties=species:S:1:pos:R:3 pbc="T T T"
Mn 7.280 3.107 5.043
Mn 5.382 4.203 3.493
Mn 10.030 4.694 2.799
Mn 8.131 5.791 1.248
Mn 6.756 2.313 2.799
Mn 8.655 3.410 1.248
Mn 6.756 5.488 5.043
Mn 8.655 6.584 3.493
Mn 9.080 2.559 3.493
Mn 9.080 4.751 5.043
Mn 6.331 4.146 1.248
Mn 6.331 6.339 2.799
Mn 5.228 1.922 4.394
Mn 5.228 4.114 5.944
Mn 10.184 4.783 0.347
Mn 10.184 6.976 1.898
Mn 6.177 6.428 0.347
Mn 4.278 5.331 1.898
Mn 11.133 3.566 4.394
Mn 9.234 2.470 5.944
Mn 8.655 6.762 5.944
Mn 6.756 7.859 4.394
Mn 8.655 1.039 1.898
Mn 6.756 2.136 0.347
Mn 7.706 4.449 3.146
Mn 0.000 0.000 0.000
Zr 11.559 6.673 4.719
Zr 3.853 2.224 1.573
```

Space-group type = No. 226
Energy of formation from the pure elements = 60 meV/atom
E = -9.653 eV/atom
Total moment = 0.000 μB per atom

=====

[5]
Density functional theory data (PBEsol) for a geometry-optimized Na2P2Se structure.

The structure in extended XYZ format:
```
5
Lattice="-0.228 -0.387 5.329 3.790 -2.926 -2.380 1.481 4.766 -1.921" Properties=species:S:1:pos:R:3 pbc="T T T"
P 3.420 1.193 -2.791
P 1.851 0.646 -1.510
Se 0.000 0.000 0.000
Na 3.099 -1.197 0.399
Na 1.944 2.649 0.628
```

Space-group type = No. 139
E = -3.767 eV/atom
Formation energy without anion corrections = -0.12 eV per atom
Total moment = 0.000 μB per atom

=====

[6]
Density functional theory data (PBEsol) for a geometry-optimized RbZrCoPt2 structure.

The structure in extended XYZ format:
```
5
Lattice="-1.408 0.355 -4.162 -2.692 -4.019 0.568 -3.749 2.723 1.500" Properties=species:S:1:pos:R:3 pbc="T T T"
Rb -3.925 -0.471 -1.047
Co 0.000 0.000 0.000
Zr -0.704 0.177 -2.081
Pt -1.875 1.361 0.750
Pt -1.346 -2.010 0.284
```

Space-group type = No. 123
Energy of formation from the pure elements = 443 meV/atom
E = -5.912 eV/atom
Total moment = 0.184 μB per atom